(1)
# GGA-PBE Cd2CuTeP, relaxed
# - ΔE_f (raw) (eV/atom) = 0.62
# - calculated total energy (eV per atom) = -2.2803
data_Cd2CuTeP
_cell_length_a 4.965
_cell_length_b 5.050
_cell_length_c 4.965
_cell_angle_alpha 90.00
_cell_angle_beta 90.00
_cell_angle_gamma 90.00
_space_group_name_H-M_alt 'P 1'
_space_group_IT_number 1
loop_
_space_group_symop_operation_xyz
'x,y,z'
loop_
_atom_site_label
_atom_site_fract_x
_atom_site_fract_y
_atom_site_fract_z
P1 0.500 0.500 0.500
Te1 0.000 0.500 0.000
Cu1 0.000 0.000 0.000
Cd1 0.000 0.000 0.500
Cd2 0.500 0.000 0.000

***

(2)
# GGA-PBE Nd3MgRh3, relaxed
# - E above lowest polymorph (eV per atom) = 0.000
# - ΔH_f (0 K) (eV/atom) = -0.648
# - calculated total energy (eV per atom) = -6.0701
data_Nd3MgRh3
_cell_length_a 4.244
_cell_length_b 5.725
_cell_length_c 14.115
_cell_angle_alpha 90.00
_cell_angle_beta 90.00
_cell_angle_gamma 111.76
_space_group_name_H-M_alt 'P 1'
_space_group_IT_number 1
loop_
_space_group_symop_operation_xyz
'x,y,z'
loop_
_atom_site_label
_atom_site_fract_x
_atom_site_fract_y
_atom_site_fract_z
Nd1 0.200 0.399 0.894
Nd2 0.800 0.601 0.106
Nd3 0.200 0.399 0.606
Nd4 0.800 0.601 0.394
Nd5 0.476 0.952 0.750
Nd6 0.524 0.048 0.250
Mg1 0.500 0.000 0.000
Mg2 0.500 0.000 0.500
Rh1 0.910 0.820 0.908
Rh2 0.090 0.180 0.092
Rh3 0.910 0.820 0.592
Rh4 0.090 0.180 0.408
Rh5 0.751 0.503 0.750
Rh6 0.249 0.497 0.250